# GGA-PBE Sr2ThTl3, relaxed
# Crystal system = tetragonal
# ΔH_f (0 K) = -0.29 eV/atom
# SG = P4/mmm, No. 123
# E = -19.61 eV for the cell shown
# Magnetization = 0.00 μB per cell
data_Sr2ThTl3
_chemical_formula_sum 'Sr2 Th1 Tl3'
_symmetry_space_group_name_H-M 'P 1'
_symmetry_Int_Tables_number 1
_cell_length_a 3.832
_cell_length_b 3.832
_cell_length_c 13.167
_cell_angle_alpha 90.00
_cell_angle_beta 90.00
_cell_angle_gamma 90.00
loop_
_symmetry_equiv_pos_as_xyz
'x,y,z'
loop_
_atom_site_label
_atom_site_fract_x
_atom_site_fract_y
_atom_site_fract_z
Sr1 0.000 0.000 0.169
Sr2 0.000 0.000 0.831
Th1 0.000 0.000 0.500
Tl1 0.500 0.500 0.000
Tl2 0.500 0.500 0.339
Tl3 0.500 0.500 0.661